[1]
Here is Ga2CoCuMo after structural relaxation from the Alexandria database. Energies are from PBE.

crystal system	tetragonal
total DFT energy (no corrections)	-4.6721	eV/atom

Structure (CIF):
```
data_Ga2CoCuMo
_chemical_formula_sum 'Ga2 Co1 Cu1 Mo1'
_symmetry_space_group_name_H-M 'P 4/m m m'
_symmetry_Int_Tables_number 123
_symmetry_space_group_name_Hall '-P 4 2'
_cell_length_a 4.349
_cell_length_b 4.349
_cell_length_c 4.369
_cell_angle_alpha 90.00
_cell_angle_beta 90.00
_cell_angle_gamma 90.00
loop_
_atom_site_label
_atom_site_fract_x
_atom_site_fract_y
_atom_site_fract_z
Ga1 0.000 0.500 0.000
Co1 0.000 0.000 0.500
Cu1 0.000 0.000 0.000
Mo1 0.500 0.500 0.500
```

[2]
Here is GaCoCu2N after structural relaxation from the Alexandria database. Energies are from PBE.

crystal system	tetragonal
formation energy from raw total energies	1829	meV per atom

Structure (CIF):
```
data_GaCoCu2N
_chemical_formula_sum 'Ga1 Co1 Cu2 N1'
_symmetry_space_group_name_H-M 'P 4/m m m'
_symmetry_Int_Tables_number 123
_symmetry_space_group_name_Hall '-P 4 2'
_cell_length_a 4.433
_cell_length_b 4.433
_cell_length_c 4.440
_cell_angle_alpha 90.00
_cell_angle_beta 90.00
_cell_angle_gamma 90.00
loop_
_atom_site_label
_atom_site_fract_x
_atom_site_fract_y
_atom_site_fract_z
Ga1 0.000 0.000 0.000
Co1 0.000 0.000 0.500
Cu1 0.000 0.500 0.000
N1 0.500 0.500 0.500
```

[3]
Here is NdGa4CoCu2 after structural relaxation from the Alexandria database. Energies are from PBE.

crystal system	trigonal
total DFT energy (no corrections)	-4.3237	eV/atom

Structure (CIF):
```
data_NdGa4CoCu2
_chemical_formula_sum 'Nd3 Ga12 Co3 Cu6'
_symmetry_space_group_name_H-M 'R -3 m'
_symmetry_Int_Tables_number 166
_symmetry_space_group_name_Hall '-R 3 2"'
_cell_length_a 4.1528
_cell_length_b 4.1528
_cell_length_c 26.6076
_cell_angle_alpha 90.00
_cell_angle_beta 90.00
_cell_angle_gamma 120.00
loop_
_atom_site_label
_atom_site_fract_x
_atom_site_fract_y
_atom_site_fract_z
Nd1 0.0000 0.0000 0.0000
Ga1 0.0000 0.0000 0.1340
Ga2 0.0000 0.0000 0.4054
Co1 0.0000 0.0000 0.5000
Cu1 0.0000 0.0000 0.2344
```

[4]
Here is Nd2Ga4CoCu3 after structural relaxation from the Alexandria database. Energies are from PBE.

crystal system	tetragonal
total DFT energy (no corrections)	-4.5172	eV/atom

Structure (CIF):
```
data_Nd2Ga4CoCu3
_chemical_formula_sum 'Nd2 Ga4 Co1 Cu3'
_symmetry_space_group_name_H-M 'P -4 m 2'
_symmetry_Int_Tables_number 115
_symmetry_space_group_name_Hall 'P -4 -2'
_cell_length_a 4.187
_cell_length_b 4.187
_cell_length_c 10.179
_cell_angle_alpha 90.00
_cell_angle_beta 90.00
_cell_angle_gamma 90.00
loop_
_atom_site_label
_atom_site_fract_x
_atom_site_fract_y
_atom_site_fract_z
Nd1 0.000 0.500 0.243
Ga1 0.000 0.000 0.500
Ga2 0.000 0.500 0.877
Ga3 0.500 0.500 0.500
Co1 0.500 0.500 0.000
Cu1 0.000 0.000 0.000
Cu2 0.000 0.500 0.635
```

Q: What is the formula in the third record?
A: NdGa4CoCu2